Compound: MoP3
Source: Alexandria
Functional: PBE-GGA
Structure: relaxed

Structure (POSCAR):
```
MoP3
1.0
-3.978 4.131 -0.713
-3.837 -3.926 -1.346
-1.918 -0.601 7.220
P Mo
12 4
direct
0.864 0.057 0.250 P
0.079 0.283 0.428 P
0.579 0.217 0.572 P
0.079 0.283 0.072 P
0.364 0.443 0.750 P
0.421 0.783 0.428 P
0.421 0.783 0.072 P
0.636 0.557 0.250 P
0.579 0.217 0.928 P
0.921 0.717 0.572 P
0.921 0.717 0.928 P
0.136 0.943 0.750 P
0.440 0.160 0.250 Mo
0.060 0.660 0.250 Mo
0.940 0.340 0.750 Mo
0.560 0.840 0.750 Mo
```

formation enthalpy at 0 K: -0.21 eV/atom
energy above the lowest structure with this stoichiometry: 0.81 kcal/mol of atoms
crystal system: orthorhombic
calculated density: 5.12 g/cm³